# RbVF3 | Alexandria via LeMat-Bulk | GGA+U | optimized geometry
data_RbVF3
_chemical_formula_sum 'Rb2 V2 F6'
_cell_length_a 5.735
_cell_length_b 6.081
_cell_length_c 6.214
_cell_angle_alpha 119.18
_cell_angle_beta 100.66
_cell_angle_gamma 90.43
_symmetry_space_group_name_H-M 'P -1'
_symmetry_Int_Tables_number 2
_symmetry_space_group_name_Hall '-P 1'
loop_
_atom_site_label
_atom_site_fract_x
_atom_site_fract_y
_atom_site_fract_z
Rb1 0.228 0.170 0.339
V1 0.000 0.500 0.000
V2 0.500 0.500 0.000
F1 0.215 0.203 0.852
F2 0.218 0.647 0.851
F3 0.314 0.649 0.297
# Total magnetic moment   6.0 μB/cell
# E_tot   -54.87 eV/cell